Below is a relaxed structure of NdSm2TmBi4, with properties calculated at the PBE level. Values from VASP.

Quantum ESPRESSO input file:
```
&SYSTEM
  ibrav = 0, nat = 8, ntyp = 4
/
ATOMIC_SPECIES
Nd 144.24 Nd.upf
Sm 150.36 Sm.upf
Tm 168.93 Tm.upf
Bi 208.98 Bi.upf
CELL_PARAMETERS angstrom
7.8634 0.0000 0.0000
0.0000 4.5445 0.0000
-2.6248 0.0000 7.4166
ATOMIC_POSITIONS crystal
Nd 0.0000 0.0000 0.0000
Sm 0.0000 0.5000 0.5000
Sm 0.5000 0.0000 0.5000
Tm 0.5000 0.5000 0.0000
Bi 0.2551 0.5000 0.2492
Bi 0.2569 0.0000 0.7548
Bi 0.7431 0.0000 0.2452
Bi 0.7449 0.5000 0.7508
```

Values from the calculation:
Symmetry: P2/m, No. 10
N(E_F) (states/eV/f.u.): 1.193
E (eV/f.u.): -41.314
Calculated volume (Å³/atom): 33.13
Calculated formation energy (eV/atom): -0.8891
Size of the total moment (μB/f.u.): 0.0

Below is a relaxed structure of Rb2VCuI6, with properties calculated at the PBE level. Values from VASP.

Quantum ESPRESSO input file:
```
&SYSTEM
  ibrav = 0, nat = 10, ntyp = 4
/
ATOMIC_SPECIES
Rb 85.47 Rb.upf
V 50.94 V.upf
Cu 63.55 Cu.upf
I 126.90 I.upf
CELL_PARAMETERS angstrom
-4.0185 4.0185 5.7044
4.0185 -4.0185 5.7044
4.0185 4.0185 -5.7044
ATOMIC_POSITIONS crystal
Rb 0.2500 0.7500 0.5000
Rb 0.7500 0.2500 0.5000
V 0.0000 0.0000 0.0000
Cu 0.5000 0.5000 0.0000
I 0.2462 0.2462 0.0000
I 0.2473 0.2473 0.4947
I 0.2473 0.7527 0.0000
I 0.7527 0.2473 0.0000
I 0.7527 0.7527 0.5053
I 0.7538 0.7538 0.0000
```

Values from the calculation:
Symmetry: I4/mmm, No. 139
N(E_F) (states/eV/f.u.): 9.765
E (eV/f.u.): -31.522
Distance to the lowest polymorph of the same formula (meV per atom): 56
Calculated volume (Å³/atom): 36.85
Uncorrected formation energy (eV/atom): -0.707
Size of the total moment (μB/f.u.): 2.0

Below is a relaxed structure of Pt5Se, with properties calculated at the PBE level. Values from VASP.

Quantum ESPRESSO input file:
```
&SYSTEM
  ibrav = 0, nat = 12, ntyp = 2
/
ATOMIC_SPECIES
Pt 195.08 Pt.upf
Se 78.96 Se.upf
CELL_PARAMETERS angstrom
2.8209 0.0000 0.0000
0.0000 14.4079 0.0000
0.0000 0.0000 4.7871
ATOMIC_POSITIONS crystal
Pt 0.0000 0.0000 0.0000
Pt 0.0000 0.1650 0.5000
Pt 0.0000 0.3314 0.0000
Pt 0.0000 0.6686 0.0000
Pt 0.0000 0.8350 0.5000
Pt 0.5000 0.1686 0.0000
Pt 0.5000 0.3350 0.5000
Pt 0.5000 0.5000 0.0000
Pt 0.5000 0.6650 0.5000
Pt 0.5000 0.8314 0.0000
Se 0.0000 0.5000 0.5000
Se 0.5000 0.0000 0.5000
```

Values from the calculation:
Symmetry: Cmmm, No. 65
N(E_F) (states/eV/f.u.): 6.490
E (eV/f.u.): -33.083
Calculated volume (Å³/atom): 16.21
Uncorrected formation energy (eV/atom): 0.101
Size of the total moment (μB/f.u.): 0.0